The following is a PBE-GGA calculation of a relaxed structure of Ba2InAg2O6, from Alexandria via LeMat-Bulk.

Lattice parameters (Å, degrees): 6.8358 6.8358 6.8358 54.62 54.62 54.62
Fractional coordinates of all 11 atoms:
Ba  0.2139  0.2139  0.2139
Ba  0.7861  0.7861  0.7861
In  0.0000  0.0000  0.0000
Ag  0.4149  0.4149  0.4149
Ag  0.5851  0.5851  0.5851
O  0.2024  0.7680  0.7680
O  0.2320  0.2320  0.7976
O  0.2320  0.7976  0.2320
O  0.7680  0.2024  0.7680
O  0.7680  0.7680  0.2024
O  0.7976  0.2320  0.2320

Calculated values
total DFT energy (no corrections): -4.984 eV/atom
calculated density: 5.9 g/cm³
raw formation energy: -1.16 eV per atom